[1]
Density functional theory data (GGA-PBE) for a geometry-optimized Hf4Ir2Os structure.

**ΔE_f**: -5.5 eV per formula unit
**Volume**: 404.27 Å³/cell

Cell: 4.5804 4.5804 22.2503 Å, 90.00 90.00 120.00°
Space group R-3m (No. 166, hexagonal axes)
Symmetry-distinct sites (fractional):
Hf 0.0000 0.0000 0.1225 (multiplicity 6)
Hf 0.0000 0.0000 0.3731 (multiplicity 6)
Ir 0.0000 0.0000 0.2498 (multiplicity 6)
Os 0.0000 0.0000 0.5000 (multiplicity 3)

---

[2]
Density functional theory data (GGA-PBE) for a geometry-optimized HfIr2Os structure.

**ΔE_f**: 0.1 eV per formula unit
**Energy above the lowest structure with this stoichiometry**: 0.576 eV/atom
**Volume**: 260.59 Å³/cell

Cell: 6.3873 6.3873 6.3873 Å, 90.00 90.00 90.00°
Space group Fm-3m (No. 225)
Symmetry-distinct sites (fractional):
Hf 0.0000 0.0000 0.0000 (multiplicity 4)
Ir 0.2500 0.2500 0.2500 (multiplicity 8)
Os 0.0000 0.0000 0.5000 (multiplicity 4)